Crystalline KCrSn2F8 at its relaxed geometry, computed with PBE+U.

Results
magnetization: 3.0 μB/cell
total DFT energy (no corrections): -5.17 eV/atom
volume: 17.784 A^3/atom

Cell: 5.411 5.404 7.334 Å, 88.74 86.26 93.96°
Last column: magnetic moment on the atom in μB.
Atoms (fractional coordinates):
F 0.756 0.887 0.829  0.00
F 0.210 0.742 0.911  0.00
Sn 0.483 0.517 0.768  0.00
F 0.345 0.678 0.534  0.00
F 0.150 0.226 0.801  0.00
F 0.850 0.774 0.199  0.00
Sn 0.517 0.483 0.232  0.00
F 0.790 0.258 0.089  0.00
K 0.000 0.000 0.500  0.00
Cr 0.000 0.000 0.000  2.95
F 0.655 0.322 0.466  0.00
F 0.244 0.113 0.171  0.00